Record 1
VASP calculation (PBE-GGA) on crystalline LiCoP2 at its relaxed geometry.

Unit cell a=11.4064 b=2.6147 c=3.7623 alpha=90.00 beta=103.92 gamma=90.00
With the nearest neighbours (Å) after each atom.
Space group Cm (No. 8)
Asymmetric unit:
Li 0.0000 0.0000 0.0000  5 P 2.61-2.85, 2 Li 2.61, 2 Co 2.78
Co 0.2795 0.0000 0.9037  6 P 2.25-2.34
P 0.1167 0.5000 0.5927  1 P 2.30, 2 Co 2.34
P 0.2931 0.5000 0.4004  4 Co 2.25-2.34, 1 P 2.30

The formation energy comes out at -0.226 eV/atom. Its size of the total moment is 0.000 Bohr magnetons per cell.

---

Record 2
VASP calculation (PBE-GGA) on crystalline PuVTcMo at its relaxed geometry.

Unit cell a=6.3916 b=6.3916 c=6.3916 alpha=90.00 beta=90.00 gamma=90.00
With the nearest neighbours (Å) after each atom.
Space group F-43m (No. 216)
Asymmetric unit:
Pu 0.0000 0.0000 0.0000  4 Tc 2.77, 4 Mo 2.77
V 0.0000 0.0000 0.5000  4 Mo 2.77, 4 Tc 2.77
Tc 0.2500 0.2500 0.2500  4 Pu 2.77, 4 V 2.77
Mo 0.2500 0.2500 0.7500  4 Pu 2.77, 4 V 2.77

The formation energy comes out at 0.067 eV/atom. Its size of the total moment is 14.618 Bohr magnetons per cell.

---

Record 3
VASP calculation (PBE-GGA) on crystalline MgGaAgO at its relaxed geometry.

Unit cell a=16.3592 b=2.8436 c=2.8438 alpha=90.00 beta=99.62 gamma=90.00
With the nearest neighbours (Å) after each atom.
Space group Cm (No. 8)
Asymmetric unit:
Mg 0.0000 0.0000 0.0000  4 O 2.01
Ga 0.3048 0.0000 0.2930  4 Ga 2.84, 4 Ag 2.97-2.98, 1 O 3.17
Ag 0.1687 0.5000 0.6585  1 O 2.70, 4 Ag 2.84, 4 Ga 2.97-2.98
O 0.0013 0.5000 0.5012  4 Mg 2.01

The calculation puts the total energy at -4.153 eV/atom. Its size of the total moment is 0.000 Bohr magnetons per cell.

---

Record 4
VASP calculation (PBE-GGA) on crystalline Li5Cd2AgRh2 at its relaxed geometry.

Unit cell a=9.0730 b=9.0730 c=4.0718 alpha=90.00 beta=90.00 gamma=90.00
With the nearest neighbours (Å) after each atom.
Space group P4/mbm (No. 127)
Asymmetric unit:
Li 0.0000 0.5000 0.0000  4 Rh 2.50, 4 Li 2.71
Li 0.0708 0.2102 0.0000  2 Rh 2.62, 4 Li 2.71-2.85, 2 Ag 2.86
Cd 0.1789 0.6789 0.5000  3 Rh 2.67-2.71
Ag 0.0000 0.0000 0.5000  8 Li 2.86
Rh 0.1130 0.3870 0.5000  6 Li 2.50-2.62, 3 Cd 2.67-2.71

The formation energy comes out at -0.142 eV/atom. Its size of the total moment is 0.000 Bohr magnetons per cell.

---

Record 5
VASP calculation (PBE-GGA) on crystalline PrY3Bi3 at its relaxed geometry.

Unit cell a=9.2855 b=9.2855 c=5.8518 alpha=90.00 beta=90.00 gamma=120.00
With the nearest neighbours (Å) after each atom.
Space group P6_3/m (No. 176)
Asymmetric unit:
Pr 0.3333 0.6667 0.2500  3 Bi 3.33, 3 Y 3.54
Y 0.0155 0.7717 0.2500  5 Bi 3.08-3.45
Bi 0.0639 0.6329 0.7500  5 Y 3.08-3.45, 1 Pr 3.33

The formation energy comes out at -0.642 eV/atom. Its size of the total moment is 1.569 Bohr magnetons per cell.

---

Record 6
VASP calculation (PBE-GGA) on crystalline Tc2Se at its relaxed geometry.

Unit cell a=5.6515 b=5.6515 c=5.8276 alpha=90.00 beta=90.00 gamma=90.00
With the nearest neighbours (Å) after each atom.
Space group I4/mcm (No. 140)
Asymmetric unit:
Tc 0.1579 0.3421 0.0000  1 Tc 2.52, 4 Se 2.58
Se 0.0000 0.0000 0.2500  8 Tc 2.58

The calculation puts the total energy at -7.527 eV/atom. Its size of the total moment is 0.000 Bohr magnetons per cell.

---

Record 7
VASP calculation (PBE-GGA) on crystalline HoTeIr at its relaxed geometry.

Unit cell a=8.2628 b=8.2628 c=4.6036 alpha=90.00 beta=90.00 gamma=90.00
With the nearest neighbours (Å) after each atom.
Space group P4_2/m (No. 84)
Asymmetric unit:
Ho 0.1018 0.7154 0.0000  3 Ir 2.74-3.00
Te 0.2035 0.4763 0.5000  3 Ir 2.61-2.66
Ir 0.2267 0.3280 0.0000  3 Te 2.61-2.66, 1 Ho 2.74

The calculation puts the total energy at -6.014 eV/atom. Its size of the total moment is 0.000 Bohr magnetons per cell.

---

Record 8
VASP calculation (PBE-GGA) on crystalline Fe2AgIr at its relaxed geometry.

Unit cell a=9.1351 b=2.7360 c=4.6511 alpha=90.00 beta=104.77 gamma=90.00
With the nearest neighbours (Å) after each atom.
Space group Cm (No. 8)
Asymmetric unit:
Fe 0.0000 0.0000 0.0000  4 Fe 2.53-2.74, 3 Ir 2.59-2.72, 4 Ag 2.70
Fe 0.2269 0.5000 0.2675  4 Fe 2.53-2.74, 4 Ir 2.64-2.78, 3 Ag 2.67-2.70
Ag 0.4862 0.0000 0.4934  7 Fe 2.67-2.70, 2 Ag 2.74, 3 Ir 2.83-2.85
Ir 0.2545 0.0000 0.7982  7 Fe 2.59-2.78, 2 Ir 2.74, 3 Ag 2.83-2.85

The formation energy comes out at 0.232 eV/atom. Its size of the total moment is 11.562 Bohr magnetons per cell.